Computed, not measured: a geometry-optimized Tc3RuPb structure at the PBE level of DFT.

Unit cell a=4.7092 b=4.7092 c=4.7092 alpha=90.00 beta=90.00 gamma=90.00
Element x y z (fractional)
Pb  0.5000  0.5000  0.5000
Ru  0.0000  0.0000  0.0000
Tc  0.0000  0.5000  0.0000
Tc  0.0000  0.0000  0.5000
Tc  0.5000  0.0000  0.0000

Results
* distance to the lowest polymorph of the same formula: 0.0 kJ/mol of atoms
* formation energy: 1.5371 eV/atom
* E: -36.40 eV/cell
* size of the total moment: 2.51 μB/f.u.